(1)
Here is a relaxed Y2Cu4Se5 crystal from Alexandria via LeMat-Bulk. Energies are from PBE.

## Properties
density of states at the Fermi level: 0.498 states/eV/atom
energy: -5.03 eV/atom
ρ: 5.9 g/cm3
formation energy (no corrections): -0.78 eV per atom

```
11
Lattice="2.009 1.160 16.651 -2.009 1.160 16.651 0.000 -2.320 16.651" Properties=species:S:1:pos:R:3 pbc="T T T"
Y 0.000 0.000 6.602
Y 0.000 0.000 43.352
Cu 0.000 0.000 15.682
Cu 0.000 0.000 20.697
Cu 0.000 0.000 29.257
Cu 0.000 0.000 34.272
Se 0.000 0.000 11.780
Se 0.000 0.000 18.292
Se 0.000 0.000 24.977
Se 0.000 0.000 31.662
Se 0.000 0.000 38.173
```



(2)
Here is a relaxed NiPb crystal from Alexandria via LeMat-Bulk. Energies are from PBE.

## Properties
formation enthalpy at 0 K: 2.078 kcal/mol of atoms
density of states at the Fermi level: 0.813 states/eV/atom
energy: -4.65 eV/atom
ρ: 11.4 g/cm3

```
4
Lattice="4.173 0.000 0.000 -2.087 3.614 0.000 0.000 0.000 5.139" Properties=species:S:1:pos:R:3 pbc="T T T"
Ni 0.000 0.000 0.000
Ni 0.000 0.000 2.570
Pb 0.000 2.409 1.285
Pb 2.087 1.205 3.854
```



(3)
Here is a relaxed Na10B17C3 crystal from Alexandria via LeMat-Bulk. Energies are from PBE.

## Properties
formation enthalpy at 0 K: 5.186 kcal/mol of atoms
excess energy over the best structure of this formula in the dataset: 1.93 kJ per mole of atoms
density of states at the Fermi level: 0.304 states/eV/atom
energy: -4.92 eV/atom
ρ: 2.3 g/cm3

```
30
Lattice="11.512 -1.477 0.000 11.512 1.477 0.000 -2.898 0.000 9.631" Properties=species:S:1:pos:R:3 pbc="T T T"
Na 0.000 0.000 0.000
Na 0.275 0.000 6.740
Na 3.433 0.000 3.864
Na 6.617 0.000 0.972
Na 6.891 0.000 7.718
Na 10.074 0.000 4.793
Na 13.197 0.000 1.939
Na 13.527 0.000 8.655
Na 16.650 0.000 5.805
Na 19.844 0.000 2.895
B -0.533 0.000 2.632
B 0.672 0.000 3.975
B -0.173 0.000 9.457
B 3.881 0.000 1.143
B 2.963 0.000 6.544
B 4.156 0.000 7.878
B 6.165 0.000 3.680
B 7.330 0.000 4.995
B 9.356 0.000 0.817
B 9.609 0.000 7.539
B 10.786 0.000 8.841
B 12.855 0.000 4.727
B 15.945 0.000 1.766
B 17.124 0.000 3.064
B 16.356 0.000 8.646
B 19.397 0.000 5.610
B 20.574 0.000 6.920
C 10.449 0.000 2.038
C 13.935 0.000 5.935
C 20.324 0.000 0.209
```



(4)
Here is a relaxed Ce2Co3Ni4 crystal from Alexandria via LeMat-Bulk. Energies are from PBE.

## Properties
formation enthalpy at 0 K: -5.669 kcal/mol of atoms
density of states at the Fermi level: 0.705 states/eV/atom
energy: -6.50 eV/atom
ρ: 8.9 g/cm3

```
9
Lattice="0.000 4.290 6.280 2.388 0.000 6.280 2.388 4.290 0.000" Properties=species:S:1:pos:R:3 pbc="T T T"
Ce 2.388 4.290 1.696
Ce 2.388 4.290 10.863
Co 1.194 2.145 0.000
Co 1.194 2.145 6.280
Co 2.388 4.290 6.280
Ni 2.388 2.795 4.171
Ni 2.388 2.795 8.389
Ni 2.388 5.785 4.171
Ni 2.388 5.785 8.389
```